1.
MnReOs | GGA-PBE | relaxed

```
6
Lattice="2.7027 0.0000 0.0000 0.0000 3.7890 0.0000 0.0000 0.0000 8.0320" Properties=species:S:1:pos:R:3 pbc="T T T"
Mn 0.0000 0.0000 0.0000
Mn 1.3514 1.8945 4.0160
Re 0.0000 0.0000 2.6738
Re 1.3514 1.8945 6.6898
Os 0.0000 0.0000 5.3307
Os 1.3514 1.8945 1.3147
```

Calculated values
Space group: Imm2
ρ, g/cm³: 17.42
Total magnetization, μB/cell: 3.0
E above lowest polymorph, eV/f.u.: 0.000
Final energy, Ry/atom: -0.7993


2.
TbMn3Tc3 | GGA-PBE | relaxed

```
14
Lattice="6.4164 0.0000 0.0000 0.0000 6.4164 0.0000 0.0000 0.0000 6.4164" Properties=species:S:1:pos:R:3 pbc="T T T"
Tb 0.0000 0.0000 0.0000
Tb 3.2082 3.2082 3.2082
Mn 0.0000 1.6041 3.2082
Mn 0.0000 4.8123 3.2082
Mn 1.6041 3.2082 0.0000
Mn 3.2082 0.0000 1.6041
Mn 3.2082 0.0000 4.8123
Mn 4.8123 3.2082 0.0000
Tc 0.0000 3.2082 1.6041
Tc 0.0000 3.2082 4.8123
Tc 1.6041 0.0000 3.2082
Tc 3.2082 1.6041 0.0000
Tc 3.2082 4.8123 0.0000
Tc 4.8123 0.0000 3.2082
```

Calculated values
Space group: Pm-3n
ρ, g/cm³: 7.77
Total magnetization, μB/cell: 0.0
Final energy, Ry/atom: -0.6104


Sequential calculated volume output: 82.3; 264.2 Å³ per cell